1.
! PBE LiMg8Tl6, optimized geometry; values from VASP
! **Formation enthalpy at 0 K**: 0.025 eV per atom
! **Theoretical density**: 6055 kg/m3
! **Electronic total energy**: -0.070 hartree per atom
! **Space-group type**: R-3, No. 148
&SYSTEM
  ibrav = 0, nat = 15, ntyp = 3
/
ATOMIC_SPECIES
Li 6.94 Li.upf
Mg 24.30 Mg.upf
Tl 204.38 Tl.upf
ATOMIC_POSITIONS angstrom
Li 0.000 0.000 0.000
Mg -1.460 -2.412 8.321
Mg -2.819 0.059 10.374
Mg 0.000 0.000 6.204
Mg -1.359 2.471 8.321
Mg 1.359 -2.471 10.374
Mg 0.000 0.000 12.491
Mg 2.819 -0.059 8.321
Mg 1.460 2.412 10.374
Tl -2.861 0.058 7.396
Tl -1.481 -2.449 11.299
Tl 1.380 -2.506 7.396
Tl -1.380 2.506 11.299
Tl 1.481 2.449 7.396
Tl 2.861 -0.058 11.299
CELL_PARAMETERS angstrom
4.259 2.459 6.232
-4.259 2.459 6.232
0.000 -4.918 6.232

***

2.
! PBE Li2MgTl2, optimized geometry; values from VASP
! **Formation enthalpy at 0 K**: -0.146 eV per atom
! **Theoretical density**: 6698 kg/m3
! **Distance to the lowest polymorph of the same formula**: 0 meV per atom
! **Electronic total energy**: -0.080 hartree per atom
! **Space-group type**: P4/mbm, No. 127
&SYSTEM
  ibrav = 0, nat = 10, ntyp = 3
/
ATOMIC_SPECIES
Li 6.94 Li.upf
Mg 24.30 Mg.upf
Tl 204.38 Tl.upf
ATOMIC_POSITIONS angstrom
Li 1.273 2.745 0.000
Li 2.745 6.762 0.000
Li 5.290 1.273 0.000
Li 6.762 5.290 0.000
Mg 0.000 0.000 1.716
Mg 4.018 4.018 1.716
Tl 1.141 5.158 1.716
Tl 2.877 1.141 1.716
Tl 5.158 6.895 1.716
Tl 6.895 2.877 1.716
CELL_PARAMETERS angstrom
8.035 0.000 0.000
0.000 8.035 0.000
0.000 0.000 3.432

***

3.
! PBE LiMg4Tl6, optimized geometry; values from VASP
! **Formation enthalpy at 0 K**: -0.032 eV per atom
! **Theoretical density**: 7849 kg/m3
! **Electronic total energy**: -0.076 hartree per atom
! **Space-group type**: P1, No. 1
&SYSTEM
  ibrav = 0, nat = 11, ntyp = 3
/
ATOMIC_SPECIES
Li 6.94 Li.upf
Mg 24.30 Mg.upf
Tl 204.38 Tl.upf
ATOMIC_POSITIONS angstrom
Li 0.000 0.000 0.000
Mg 2.939 1.711 0.307
Mg 3.543 -0.563 5.267
Mg 4.530 4.000 2.480
Mg 4.970 2.500 5.269
Tl 0.055 2.928 0.042
Tl 0.585 -0.584 5.336
Tl 1.607 5.276 2.164
Tl 1.902 2.385 3.724
Tl 2.124 2.751 7.044
Tl 4.895 0.981 2.636
CELL_PARAMETERS angstrom
5.968 0.000 0.000
-0.291 5.964 0.000
-0.916 -1.881 7.909

***

Number 3 is which compound?
LiMg4Tl6

***

formation enthalpy at 0 K of number 1 (LiMg8Tl6)?
0.025 eV per atom